VASP calculation (PBE) on a relaxed Tb2GdCd crystal.

Values from the calculation:
symmetry	No. 123
calculated formation energy	-63	meV per atom
V	115.2	Å³/f.u.
magnetic moment	7.2	Bohr magnetons per cell
E above lowest polymorph	0.077	eV/atom

```
4
Lattice="5.467 0.000 0.000 0.000 5.467 0.000 0.000 0.000 3.853" Properties=species:S:1:pos:R:3 pbc="T T T"
Tb 0.000 2.734 0.000
Tb 2.734 0.000 0.000
Gd 0.000 0.000 1.926
Cd 2.734 2.734 1.926
```

***

VASP calculation (PBE) on a relaxed Sc2ZnPt crystal.

Values from the calculation:
symmetry	No. 166
calculated formation energy	-551	meV per atom
V	82.2	Å³/f.u.
magnetic moment	0.0	Bohr magnetons per cell

```
12
Lattice="3.498 0.000 0.000 -1.749 3.029 0.000 0.000 0.000 23.280" Properties=species:S:1:pos:R:3 pbc="T T T"
Sc 0.000 0.000 5.673
Sc 0.000 0.000 17.607
Sc 0.000 2.019 9.847
Sc 0.000 2.019 21.193
Sc 1.749 1.010 2.087
Sc 1.749 1.010 13.433
Zn 0.000 0.000 0.000
Zn 0.000 2.019 15.520
Zn 1.749 1.010 7.760
Pt 0.000 0.000 11.640
Pt 0.000 2.019 3.880
Pt 1.749 1.010 19.400
```

***

VASP calculation (PBE) on a relaxed Mg2Sc crystal.

Values from the calculation:
symmetry	No. 63
calculated formation energy	5	meV per atom
V	69.9	Å³/f.u.
magnetic moment	0.0	Bohr magnetons per cell

```
12
Lattice="3.163 0.000 0.000 0.000 16.809 0.000 0.000 0.000 5.258" Properties=species:S:1:pos:R:3 pbc="T T T"
Mg 0.000 0.940 1.315
Mg 0.000 4.708 3.944
Mg 0.000 12.101 1.315
Mg 0.000 15.870 3.944
Mg 1.581 3.696 1.315
Mg 1.581 7.465 3.944
Mg 1.581 9.345 1.315
Mg 1.581 13.113 3.944
Sc 0.000 6.568 1.315
Sc 0.000 10.242 3.944
Sc 1.581 1.837 3.944
Sc 1.581 14.972 1.315
```

***

- Among the records above, which one has the lowest V?
  Mg2Sc